Entry 1:
Here is an optimized crystal structure of CsCa3Mn from Alexandria via LeMat-Bulk. Energies are from PBE.

Unit cell a=5.8014 b=5.8014 c=5.8014 alpha=90.00 beta=90.00 gamma=90.00
Last column: nearest neighbours and their distance in Å.
Element x y z (fractional)
1 Ca 0.0000 0.0000 0.5000  2 Mn 2.90
2 Ca 0.0000 0.5000 0.0000  2 Mn 2.90
3 Ca 0.5000 0.0000 0.0000  2 Mn 2.90
4 Mn 0.0000 0.0000 0.0000  6 Ca 2.90
5 Cs 0.5000 0.5000 0.5000  12 Ca 4.10

Computed properties:
* energy relative to the elements: 44.4 kJ per mole of atoms
* energy relative to the lowest polymorph listed for this composition: 0 meV/atom

=====

Entry 2:
Here is an optimized crystal structure of Cs2Ca4Mn from Alexandria via LeMat-Bulk. Energies are from PBE.

Unit cell a=5.8040 b=5.8040 c=11.8506 alpha=75.83 beta=75.83 gamma=90.00
Last column: nearest neighbours and their distance in Å.
Element x y z (fractional)
1 Mn 0.0000 0.0000 0.0000  2 Ca 2.58
2 Ca 0.5000 0.0000 0.0000  2 Mn 2.90
3 Ca 0.8838 0.8838 0.2324  1 Mn 2.58
4 Ca 0.1162 0.1162 0.7676  1 Mn 2.58
5 Ca 0.0000 0.5000 0.0000  2 Mn 2.90
6 Cs 0.6720 0.6720 0.6559  9 Ca 4.29-4.80
7 Cs 0.3280 0.3280 0.3441  9 Ca 4.29-4.80

Computed properties:
* energy relative to the elements: 51.7 kJ per mole of atoms

=====

Entry 3:
Here is an optimized crystal structure of CsCaMn3 from Alexandria via LeMat-Bulk. Energies are from PBE.

Unit cell a=5.4585 b=5.4585 c=5.4585 alpha=90.00 beta=90.00 gamma=90.00
Last column: nearest neighbours and their distance in Å.
Element x y z (fractional)
1 Ca 0.5000 0.5000 0.5000  12 Mn 3.86
2 Mn 0.5000 0.0000 0.0000  2 Cs 2.73
3 Mn 0.0000 0.5000 0.0000  2 Cs 2.73
4 Mn 0.0000 0.0000 0.5000  2 Cs 2.73
5 Cs 0.0000 0.0000 0.0000  6 Mn 2.73

Computed properties:
* energy relative to the elements: 179.8 kJ per mole of atoms